This record from Alexandria via LeMat-Bulk describes an optimized crystal structure of NaVBF6. The functional is PBE with a Hubbard U.

Properties
D(E_F) = 0.0 states/eV/f.u.
Total DFT energy (no corrections) = -5.434 eV per atom

Structure (CIF):
```
data_NaVBF6
_cell_length_a 5.0537
_cell_length_b 5.0537
_cell_length_c 4.8244
_cell_angle_alpha 90.00
_cell_angle_beta 90.00
_cell_angle_gamma 120.00
_space_group_name_H-M_alt 'P 3 1 2'
_space_group_IT_number 149
_space_group_name_Hall 'P 3 2'
loop_
_atom_site_label
_atom_site_type_symbol
_atom_site_fract_x
_atom_site_fract_y
_atom_site_fract_z
Na1 Na 0.0000 0.0000 0.0000
V1 V 0.3333 0.6667 0.5000
B1 B 0.6667 0.3333 0.5000
F1 F 0.4004 0.0665 0.6964
```